A relaxed ZrSc2TcBi crystal. Source: the Alexandria database, functional PBE-GGA.

The total energy comes out at -5.85 eV per atom. As for the formation energy: 6.21 eV/f.u. The density is 5.3 g/cm3. The calculation puts the volume at 30.5 Å³/atom.

POSCAR file:
```
ZrSc2TcBi
1.0
5.287 0.000 0.000
0.000 5.287 0.000
0.000 0.000 5.452
Zr Sc Tc Bi
1 2 1 1
Cartesian
0.000 0.000 0.000
0.000 2.643 2.726
2.643 0.000 2.726
2.643 2.643 0.000
0.000 0.000 2.726
```


A relaxed KTi2S4 crystal. Source: the Alexandria database, functional PBE-GGA.

The total energy comes out at -6.03 eV per atom. The value obtained for the uncorrected formation energy is -1262 meV per atom. The density is 3.1 g/cm3. The calculation puts the volume at 19.8 Å³/atom. The energy above the most stable polymorph in this dataset is 142 meV per atom.

POSCAR file:
```
KTi2S4
1.0
1.807 -6.107 0.000
1.807 6.107 0.000
0.000 0.000 12.580
K Ti S
2 4 8
Cartesian
1.807 4.781 9.435
1.807 -4.781 3.145
1.807 1.590 7.119
1.807 1.590 11.751
1.807 -1.590 0.829
1.807 -1.590 5.461
0.000 0.000 0.000
0.000 0.000 6.290
1.807 2.896 1.273
1.807 2.896 5.017
1.807 1.101 9.435
1.807 -1.101 3.145
1.807 -2.896 7.563
1.807 -2.896 11.307
```


A relaxed Ho4Ag3Hg2 crystal. Source: the Alexandria database, functional PBE-GGA.

The total energy comes out at -3.36 eV per atom. As for the formation energy: -2.77 eV/f.u. The density is 10.7 g/cm3. The calculation puts the volume at 23.8 Å³/atom.

POSCAR file:
```
Ho4Ag3Hg2
1.0
4.776 -2.453 0.000
4.776 2.453 0.000
-1.558 0.000 9.143
Ho Ag Hg
4 3 2
Cartesian
-0.073 0.000 3.054
3.183 0.000 0.970
4.811 0.000 8.173
8.067 0.000 6.089
0.000 0.000 0.000
2.709 0.000 4.051
5.285 0.000 5.092
1.526 0.000 6.899
6.468 0.000 2.244
```


A relaxed K2UPt3O12 crystal. Source: the Alexandria database, functional PBE-GGA.

The total energy comes out at -6.27 eV per atom. The value obtained for the uncorrected formation energy is -1209 meV per atom. The density is 6.4 g/cm3. The calculation puts the volume at 15.9 Å³/atom.

POSCAR file:
```
K2UPt3O12
1.0
3.607 2.082 6.335
-3.607 2.082 6.335
0.000 -4.165 6.335
K U Pt O
2 1 3 12
Cartesian
0.000 0.000 2.053
0.000 0.000 16.951
0.000 0.000 9.502
-1.803 -1.041 6.335
-1.803 1.041 12.669
0.000 2.082 6.335
-1.435 -0.828 8.282
0.000 -1.718 5.921
-1.488 0.859 5.921
-1.488 -0.859 13.083
0.000 -1.656 10.722
-1.435 0.828 10.722
1.435 -0.828 8.282
0.000 1.656 8.282
1.488 0.859 5.921
1.488 -0.859 13.083
0.000 1.718 13.083
1.435 0.828 10.722
```


A relaxed RbHf2Pd crystal. Source: the Alexandria database, functional PBE-GGA.

The total energy comes out at -5.69 eV per atom. As for the formation energy: 3.32 eV/f.u. The density is 10.6 g/cm3. The calculation puts the volume at 21.6 Å³/atom. The energy above the most stable polymorph in this dataset is 0 meV per atom.

POSCAR file:
```
RbHf2Pd
1.0
0.000 3.508 3.508
3.508 0.000 3.508
3.508 3.508 0.000
Rb Hf Pd
1 2 1
Cartesian
0.000 0.000 0.000
1.754 1.754 1.754
5.261 5.261 5.261
3.508 3.508 3.508
```


A relaxed CaGdO2 crystal. Source: the Alexandria database, functional PBE-GGA.

The total energy comes out at -9.34 eV per atom. The value obtained for the uncorrected formation energy is -2836 meV per atom. The density is 6.6 g/cm3. The calculation puts the volume at 14.5 Å³/atom.

POSCAR file:
```
CaGdO2
1.0
1.713 0.989 5.695
-1.713 0.989 5.695
0.000 -1.977 5.695
Ca Gd O
1 1 2
Cartesian
0.000 0.000 0.000
0.000 0.000 8.542
0.000 0.000 4.290
0.000 0.000 12.794
```


A relaxed Tb2CePaCo2 crystal. Source: the Alexandria database, functional PBE-GGA.

The total energy comes out at -6.65 eV per atom. As for the formation energy: -1.00 eV/f.u. The density is 9.3 g/cm3. The calculation puts the volume at 24.1 Å³/atom.

POSCAR file:
```
Tb2CePaCo2
1.0
-3.463 6.097 3.422
3.463 -6.097 3.422
3.463 6.097 -3.422
Tb Ce Pa Co
4 2 2 4
Cartesian
1.526 2.450 0.000
1.526 -2.450 3.422
1.937 8.546 0.000
1.937 3.647 3.422
3.463 0.000 1.711
0.000 6.097 1.711
0.000 0.000 1.711
0.000 0.000 5.134
5.343 0.909 0.000
1.881 5.188 0.000
1.582 0.909 3.422
-1.881 5.188 3.422
```


A relaxed Gd3ErRh crystal. Source: the Alexandria database, functional PBE-GGA.

The total energy comes out at -11.01 eV per atom. As for the formation energy: -0.91 eV/f.u. The density is 7.6 g/cm3. The calculation puts the volume at 32.2 Å³/atom.

POSCAR file:
```
Gd3ErRh
1.0
5.442 0.000 0.000
0.000 5.442 0.000
0.000 0.000 5.442
Gd Er Rh
3 1 1
Cartesian
0.000 0.000 2.721
0.000 2.721 0.000
2.721 0.000 0.000
2.721 2.721 2.721
0.000 0.000 0.000
```


A relaxed CeZnTc crystal. Source: the Alexandria database, functional PBE-GGA.

The total energy comes out at -6.06 eV per atom. As for the formation energy: -0.62 eV/f.u. The density is 8.7 g/cm3. The calculation puts the volume at 19.3 Å³/atom. The energy above the most stable polymorph in this dataset is 0 meV per atom.

POSCAR file:
```
CeZnTc
1.0
-2.786 3.076 3.370
2.786 -3.076 3.370
2.786 3.076 -3.370
Ce Zn Tc
2 2 2
Cartesian
0.000 1.538 0.577
2.786 1.538 2.793
2.786 0.000 0.000
0.000 0.000 3.370
1.393 1.538 -1.685
1.393 -1.538 1.685
```


A relaxed Rb2Zn2CdS4 crystal. Source: the Alexandria database, functional PBE-GGA.

The total energy comes out at -3.33 eV per atom. The value obtained for the uncorrected formation energy is -895 meV per atom. The density is 4.0 g/cm3. The calculation puts the volume at 25.2 Å³/atom.

POSCAR file:
```
Rb2Zn2CdS4
1.0
8.001 -1.963 0.000
8.001 1.963 0.000
-2.429 0.000 7.232
Rb Zn Cd S
2 2 1 4
Cartesian
1.922 0.000 0.230
11.650 0.000 7.002
3.980 0.000 3.714
9.593 0.000 3.518
-1.215 0.000 3.616
1.790 0.000 4.882
5.804 0.000 5.154
7.768 0.000 2.078
11.783 0.000 2.350
```


A relaxed Mn2P crystal. Source: the Alexandria database, functional PBE-GGA.

The total energy comes out at -8.11 eV per atom. As for the formation energy: -0.58 eV/f.u. The density is 7.2 g/cm3. The calculation puts the volume at 10.9 Å³/atom.

POSCAR file:
```
Mn2P
1.0
1.330 -6.192 0.000
1.330 6.192 0.000
0.000 0.000 3.970
Mn P
4 2
Cartesian
1.330 5.643 2.978
1.330 2.610 0.993
1.330 -2.610 2.978
1.330 -5.643 0.993
1.330 1.497 2.978
1.330 -1.497 0.993
```


A relaxed TbPrEu2 crystal. Source: the Alexandria database, functional PBE-GGA.

The total energy comes out at -7.41 eV per atom. As for the formation energy: 0.34 eV/f.u. The density is 6.8 g/cm3. The calculation puts the volume at 36.8 Å³/atom. The energy above the most stable polymorph in this dataset is 0 meV per atom.

POSCAR file:
```
TbPrEu2
1.0
1.857 1.072 12.327
-1.857 1.072 12.327
0.000 -2.144 12.327
Tb Pr Eu
1 1 2
Cartesian
0.000 0.000 0.000
0.000 0.000 18.490
0.000 0.000 9.299
0.000 0.000 27.681
```


A relaxed CaBr2 crystal. Source: the Alexandria database, functional PBE-GGA.

The total energy comes out at -3.13 eV per atom. The value obtained for the uncorrected formation energy is -1343 meV per atom. The density is 1.9 g/cm3. The calculation puts the volume at 58.5 Å³/atom.

POSCAR file:
```
CaBr2
1.0
7.180 0.000 0.000
-3.590 6.218 0.000
0.000 0.000 15.733
Ca Br
4 8
Cartesian
0.000 4.145 2.222
0.000 4.145 5.645
3.590 2.073 10.088
3.590 2.073 13.511
0.000 0.000 0.000
0.000 0.000 7.866
0.000 2.016 3.933
-1.844 5.210 3.933
1.746 1.008 11.800
1.844 5.210 3.933
5.434 1.008 11.800
3.590 4.202 11.800
```


A relaxed Y2TlCl crystal. Source: the Alexandria database, functional PBE-GGA.

The total energy comes out at -4.98 eV per atom. The value obtained for the uncorrected formation energy is -697 meV per atom. The density is 6.4 g/cm3. The calculation puts the volume at 27.0 Å³/atom. The energy above the most stable polymorph in this dataset is 194 meV per atom.

POSCAR file:
```
Y2TlCl
1.0
-1.770 2.450 6.231
1.770 -2.450 6.231
1.770 2.450 -6.231
Y Tl Cl
2 1 1
Cartesian
0.000 0.000 0.000
0.000 2.450 3.144
1.770 0.000 3.963
0.000 0.000 7.146
```


A relaxed AgTe2Br2 crystal. Source: the Alexandria database, functional PBE-GGA.

The total energy comes out at -2.42 eV per atom. The value obtained for the uncorrected formation energy is 74 meV per atom. The density is 5.8 g/cm3. The calculation puts the volume at 29.7 Å³/atom. The energy above the most stable polymorph in this dataset is 0 meV per atom.

POSCAR file:
```
AgTe2Br2
1.0
7.430 0.000 0.000
0.000 7.430 0.000
0.000 0.000 5.384
Ag Te Br
2 4 4
Cartesian
0.000 0.000 0.000
3.715 3.715 0.000
0.976 2.739 0.000
2.739 6.454 0.000
4.691 0.976 0.000
6.454 4.691 0.000
1.680 5.395 2.692
2.035 1.680 2.692
5.395 5.750 2.692
5.750 2.035 2.692
```


A relaxed Mn2AlP crystal. Source: the Alexandria database, functional PBE-GGA.

The total energy comes out at -6.83 eV per atom. As for the formation energy: 0.18 eV/f.u. The density is 5.0 g/cm3. The calculation puts the volume at 14.0 Å³/atom. The energy above the most stable polymorph in this dataset is 351 meV per atom.

POSCAR file:
```
Mn2AlP
1.0
-3.271 3.271 2.613
3.271 -3.271 2.613
3.271 3.271 -2.613
Mn Al P
4 2 2
Cartesian
4.907 1.323 -0.653
1.323 1.636 0.653
-1.636 1.948 1.960
1.948 1.636 3.267
3.271 0.000 1.307
0.000 0.000 2.613
0.000 0.000 0.000
0.000 3.271 1.307
```


A relaxed BaCu2I crystal. Source: the Alexandria database, functional PBE-GGA.

The total energy comes out at -2.79 eV per atom. The value obtained for the uncorrected formation energy is 129 meV per atom. The density is 6.0 g/cm3. The calculation puts the volume at 27.2 Å³/atom. The energy above the most stable polymorph in this dataset is 9 meV per atom.

POSCAR file:
```
BaCu2I
1.0
0.000 3.787 3.787
3.787 0.000 3.787
3.787 3.787 0.000
Ba Cu I
1 2 1
Cartesian
0.000 0.000 0.000
1.894 1.894 1.894
5.681 5.681 5.681
3.787 3.787 3.787
```


A relaxed Th8Fe2Co crystal. Source: the Alexandria database, functional PBE-GGA.

The total energy comes out at -7.56 eV per atom. As for the formation energy: 0.25 eV/f.u. The density is 11.5 g/cm3. The calculation puts the volume at 26.5 Å³/atom.

POSCAR file:
```
Th8Fe2Co
1.0
3.815 -6.693 0.000
3.815 6.693 0.000
-2.382 0.000 5.712
Th Fe Co
8 2 1
Cartesian
0.000 0.000 0.000
2.025 2.752 0.974
3.279 5.005 3.190
2.552 1.765 4.466
2.025 -2.752 0.974
4.298 0.000 1.979
2.552 -1.765 4.466
3.279 -5.005 3.190
1.097 4.028 3.793
1.097 -4.028 3.793
1.638 0.000 2.342
```


A relaxed Ce2PuAl9 crystal. Source: the Alexandria database, functional PBE-GGA.

The total energy comes out at -5.31 eV per atom. As for the formation energy: -3.84 eV/f.u. The density is 5.3 g/cm3. The calculation puts the volume at 19.9 Å³/atom.

POSCAR file:
```
Ce2PuAl9
1.0
2.787 1.609 8.865
-2.787 1.609 8.865
0.000 -3.218 8.865
Ce Pu Al
2 1 9
Cartesian
0.000 0.000 3.781
0.000 0.000 22.814
0.000 0.000 0.000
-1.416 -0.818 11.055
0.000 0.000 8.905
0.000 -1.636 15.540
-1.416 0.818 15.540
0.000 0.000 13.297
1.416 -0.818 11.055
0.000 1.636 11.055
0.000 0.000 17.690
1.416 0.818 15.540
```


A relaxed YGaOF2 crystal. Source: the Alexandria database, functional PBE-GGA.

The total energy comes out at -6.37 eV per atom. The value obtained for the uncorrected formation energy is -2727 meV per atom. The density is 4.0 g/cm3. The calculation puts the volume at 17.5 Å³/atom. The energy above the most stable polymorph in this dataset is 0 meV per atom.

POSCAR file:
```
YGaOF2
1.0
4.456 0.000 0.000
0.000 4.456 0.000
0.000 0.000 4.401
Y Ga O F
1 1 1 2
Cartesian
0.000 0.000 0.000
2.228 2.228 2.201
0.000 0.000 2.201
0.000 2.228 0.000
2.228 0.000 0.000
```


A relaxed LuB4Ru4 crystal. Source: the Alexandria database, functional PBE-GGA.

The total energy comes out at -8.09 eV per atom. As for the formation energy: -4.48 eV/f.u. The density is 9.9 g/cm3. The calculation puts the volume at 11.6 Å³/atom.

POSCAR file:
```
LuB4Ru4
1.0
-3.727 3.727 7.509
3.727 -3.727 7.509
3.727 3.727 -7.509
Lu B Ru
4 16 16
Cartesian
3.727 1.863 -1.877
0.000 1.863 1.877
3.727 1.863 5.632
0.000 1.863 9.387
1.257 0.832 -0.653
1.032 -0.606 3.102
2.470 0.832 0.653
4.758 -0.606 4.408
4.758 0.606 3.102
2.470 -0.832 6.857
1.032 0.606 4.408
1.257 -0.832 8.162
2.470 4.559 -0.653
2.695 3.121 3.102
1.257 4.559 0.653
-1.032 3.121 4.408
-1.032 4.333 3.102
1.257 2.895 6.857
2.695 4.333 4.408
2.470 2.895 8.162
6.596 0.742 -0.949
2.606 2.721 -4.704
4.584 0.742 0.949
2.606 -1.006 4.704
2.606 1.006 2.806
0.857 2.984 -0.949
2.606 4.733 -2.806
2.870 2.984 0.949
0.857 0.742 6.560
1.121 -1.006 10.315
2.870 0.742 8.458
1.121 2.721 4.704
1.121 4.733 2.806
-0.857 2.984 6.560
1.121 1.006 12.213
-2.870 2.984 8.458
```


A relaxed PrAg4Sn2 crystal. Source: the Alexandria database, functional PBE-GGA.

The total energy comes out at -3.71 eV per atom. As for the formation energy: -1.75 eV/f.u. The density is 8.5 g/cm3. The calculation puts the volume at 22.5 Å³/atom.

POSCAR file:
```
PrAg4Sn2
1.0
8.271 0.000 0.000
0.000 8.271 0.000
0.000 0.000 4.614
Pr Ag Sn
2 8 4
Cartesian
0.000 0.000 0.000
4.135 4.135 2.307
0.810 2.918 2.307
1.217 4.945 0.000
2.918 0.810 2.307
3.326 7.054 0.000
4.945 1.217 0.000
5.352 7.461 2.307
7.054 3.326 0.000
7.461 5.352 2.307
1.764 6.506 2.307
2.371 2.371 0.000
5.900 5.900 0.000
6.506 1.764 2.307
```


A relaxed AcPa2Si crystal. Source: the Alexandria database, functional PBE-GGA.

The total energy comes out at -6.79 eV per atom. The value obtained for the uncorrected formation energy is 338 meV per atom. The density is 10.1 g/cm3. The calculation puts the volume at 29.4 Å³/atom. The energy above the most stable polymorph in this dataset is 210 meV per atom.

POSCAR file:
```
AcPa2Si
1.0
1.781 1.028 10.713
-1.781 1.028 10.713
0.000 -2.057 10.713
Ac Pa Si
1 2 1
Cartesian
0.000 0.000 0.000
0.000 0.000 3.466
0.000 0.000 28.673
0.000 0.000 16.069
```